No. 1
The following is a meta-GGA SCAN calculation of a crystal of TlReP2 relaxed with PBEsol, from Alexandria.

Structure (POSCAR):
```
TlReP2
1.0
4.387 0.005 0.008
-1.798 4.002 -0.008
-1.798 -1.678 3.633
Re P Tl
1 2 1
Direct
0.000 0.000 0.000
0.500 0.750 0.250
0.500 0.250 0.750
0.000 0.500 0.500
```

Space-group type: No. 139
ΔE_f, eV per atom: 0.8908
Distance to the lowest polymorph of the same formula, meV/atom: 687



No. 2
The following is a meta-GGA SCAN calculation of a crystal of Sr3CaB relaxed with PBEsol, from Alexandria.

Structure (POSCAR):
```
Sr3CaB
1.0
6.542 0.000 0.000
0.000 6.542 0.000
0.000 0.000 6.542
B Sr Ca
1 3 1
Direct
0.500 0.500 0.500
0.000 0.000 0.500
0.500 0.000 0.000
0.000 0.500 0.000
0.000 0.000 0.000
```

Space-group type: No. 221
ΔE_f, eV per atom: 1.7132



No. 3
The following is a meta-GGA SCAN calculation of a crystal of BaScRePt2 relaxed with PBEsol, from Alexandria.

Structure (POSCAR):
```
BaScRePt2
1.0
4.810 0.000 0.000
0.000 4.994 0.000
0.000 0.000 4.994
Sc Pt Re Ba
1 2 1 1
Direct
0.500 0.000 0.000
0.000 0.000 0.500
0.000 0.500 0.000
0.000 0.000 0.000
0.500 0.500 0.500
```

Space-group type: No. 123
ΔE_f, eV per atom: -0.0836



No. 4
The following is a meta-GGA SCAN calculation of a crystal of YTaFe3 relaxed with PBEsol, from Alexandria.

Structure (POSCAR):
```
YTaFe3
1.0
4.501 0.000 0.000
0.000 4.501 0.000
0.000 0.000 4.501
Fe Ta Y
3 1 1
Direct
0.000 0.000 0.500
0.000 0.500 0.000
0.500 0.000 0.000
0.000 0.000 0.000
0.500 0.500 0.500
```

Space-group type: No. 221
ΔE_f, eV per atom: 0.8945



No. 5
The following is a meta-GGA SCAN calculation of a crystal of CsMgInF6 relaxed with PBEsol, from Alexandria.

Structure (POSCAR):
```
CsMgInF6
1.0
7.398 0.000 0.000
3.699 6.568 0.003
3.699 2.027 6.248
In F Mg Cs
2 12 2 2
Direct
0.000 0.000 0.000
0.000 0.500 0.500
0.916 0.834 0.334
0.672 0.556 0.685
0.672 0.185 0.056
0.698 0.552 0.052
0.328 0.815 0.944
0.328 0.444 0.315
0.084 0.166 0.666
0.087 0.185 0.056
0.913 0.815 0.944
0.913 0.444 0.315
0.087 0.556 0.685
0.302 0.448 0.948
0.500 0.500 0.000
0.000 0.500 0.000
0.413 0.837 0.337
0.587 0.163 0.663
```

Space-group type: No. 74
Raw formation energy, meV per atom: -3185



No. 6
The following is a meta-GGA SCAN calculation of a crystal of Y2MnCl relaxed with PBEsol, from Alexandria.

Structure (POSCAR):
```
Y2MnCl
1.0
-0.752 -2.161 2.218
3.640 1.917 3.101
-3.437 3.265 2.016
Mn Cl Y
1 1 2
Direct
0.500 0.000 0.000
0.500 0.500 0.500
0.000 0.000 0.500
0.000 0.500 0.000
```

Space-group type: No. 123
Raw formation energy, meV per atom: -518
Distance to the lowest polymorph of the same formula, meV/atom: 55



Calculated total DFT energy (no corrections), -40.173 -15.071 -53.138 -28.869 -14.008 -20.997 eV/atom (same order as the records).